No. 1
Density functional theory data (PBE-GGA) for a geometry-optimized K5Cu2I12 structure.

abc: 9.578 9.974 12.783
angles: 125.98 112.00 90.00
Fractional positions:
1 Cu 0.359 0.000 0.000
2 I 0.887 0.186 0.254
3 I 0.087 0.292 0.704
4 K 0.294 0.443 0.588
5 K 0.706 0.557 0.412
6 I 0.633 0.814 0.746
7 I 0.913 0.708 0.296
8 I 0.513 0.245 0.025
9 I 0.384 0.708 0.296
10 K 0.690 0.022 0.381
11 Cu 0.641 0.000 0.000
12 I 0.146 0.968 0.293
13 K 0.000 0.500 0.000
14 I 0.616 0.292 0.704
15 I 0.854 0.032 0.707
16 I 0.367 0.186 0.254
17 I 0.487 0.755 0.975
18 I 0.113 0.814 0.746
19 K 0.310 0.978 0.619

Results
ΔE_f (raw) in eV per atom: -0.696


No. 2
Density functional theory data (PBE-GGA) for a geometry-optimized ZnFe2P structure.

abc: 4.581 4.581 4.581
angles: 134.68 134.68 66.03
Fractional positions:
1 Fe 0.000 0.000 0.000
2 P 0.500 0.500 0.000
3 Fe 0.250 0.750 0.500
4 Zn 0.750 0.250 0.500

Results
Energy of formation in eV/f.u.: 0.1


What is the formula in the first record?
K5Cu2I12